Record 1
First-principles (PBE-GGA) data for a relaxed structure of AcNdBi6, as listed in the Alexandria database.

- DFT total energy: -0.32421 Ry per atom
- Formation energy: -3.127 eV/f.u.
- Total magnetic moment: 0.00 μB per cell

Cell: 4.688 5.019 11.732 Å, 90.00 101.53 90.00°
Fractional coordinates of all 8 atoms:
Ac 0.825 0.000 0.651
Nd 0.173 0.500 0.345
Bi 0.550 0.500 0.101
Bi 0.453 0.000 0.907
Bi 0.315 0.500 0.630
Bi 0.678 0.000 0.356
Bi 0.935 0.500 0.869
Bi 0.070 0.000 0.141

***

Record 2
First-principles (PBE-GGA) data for a relaxed structure of Ac2NdBi, as listed in the Alexandria database.

- DFT total energy: -0.33483 Ry per atom
- Offset from the most stable computed form: 4.1 kJ per mole of atoms
- Formation energy: -1.357 eV/f.u.
- Total magnetic moment: 0.00 μB per cell

Cell: 4.437 4.437 7.818 Å, 90.00 90.00 90.00°
Fractional coordinates of all 4 atoms:
Ac 0.000 0.000 0.773
Ac 0.000 0.000 0.227
Nd 0.500 0.500 0.500
Bi 0.500 0.500 0.000

***

Record 3
First-principles (PBE-GGA) data for a relaxed structure of Ac5NdBi6, as listed in the Alexandria database.

- DFT total energy: -0.37020 Ry per atom
- Formation energy: -11.846 eV/f.u.
- Total magnetic moment: 0.00 μB per cell

Cell: 8.379 8.379 8.382 Å, 99.60 99.60 120.00°
Fractional coordinates of all 12 atoms:
Ac 0.831 0.169 0.500
Ac 0.666 0.334 0.000
Ac 0.500 0.500 0.500
Ac 0.334 0.666 0.000
Ac 0.169 0.831 0.500
Nd 0.000 0.000 0.000
Bi 0.407 0.081 0.244
Bi 0.919 0.593 0.756
Bi 0.243 0.243 0.753
Bi 0.757 0.757 0.247
Bi 0.081 0.407 0.244
Bi 0.593 0.919 0.756

***

Record 4
First-principles (PBE-GGA) data for a relaxed structure of Ac12Nd5Bi3, as listed in the Alexandria database.

- DFT total energy: -0.27405 Ry per atom
- Formation energy: 10.212 eV/f.u.
- Total magnetic moment: 0.00 μB per cell

Cell: 16.979 16.979 16.979 Å, 109.47 109.47 109.47°
Fractional coordinates of all 80 atoms:
Bi 0.750 0.375 0.125
Bi 0.875 0.750 0.125
Bi 0.375 0.750 0.625
Bi 0.250 0.125 0.375
Bi 0.875 0.125 0.250
Bi 0.375 0.625 0.250
Bi 0.625 0.375 0.750
Bi 0.125 0.875 0.750
Bi 0.750 0.875 0.625
Bi 0.625 0.250 0.375
Bi 0.125 0.250 0.875
Bi 0.250 0.625 0.875
Nd 0.125 0.375 0.250
Nd 0.000 0.500 0.000
Nd 0.000 0.000 0.000
Nd 0.375 0.250 0.125
Nd 0.500 0.000 0.500
Nd 0.500 0.500 0.000
Nd 0.125 0.750 0.375
Nd 0.750 0.125 0.875
Nd 0.750 0.625 0.375
Nd 0.375 0.125 0.750
Nd 0.625 0.875 0.250
Nd 0.500 0.500 0.500
Nd 0.500 0.000 0.000
Nd 0.000 0.000 0.500
Nd 0.250 0.375 0.625
Nd 0.250 0.875 0.125
Nd 0.000 0.500 0.500
Nd 0.875 0.250 0.625
Nd 0.625 0.750 0.875
Nd 0.875 0.625 0.750
Ac 0.728 0.142 0.062
Ac 0.335 0.562 0.420
Ac 0.938 0.358 0.272
Ac 0.562 0.228 0.142
Ac 0.586 0.728 0.665
Ac 0.938 0.580 0.165
Ac 0.335 0.772 0.414
Ac 0.080 0.914 0.142
Ac 0.580 0.938 0.665
Ac 0.728 0.586 0.165
Ac 0.772 0.438 0.358
Ac 0.835 0.920 0.062
Ac 0.142 0.728 0.562
Ac 0.358 0.420 0.086
Ac 0.086 0.920 0.358
Ac 0.414 0.142 0.580
Ac 0.086 0.165 0.228
Ac 0.438 0.665 0.080
Ac 0.835 0.914 0.272
Ac 0.142 0.414 0.080
Ac 0.358 0.938 0.772
Ac 0.580 0.642 0.414
Ac 0.920 0.835 0.562
Ac 0.772 0.335 0.914
Ac 0.420 0.358 0.586
Ac 0.080 0.165 0.438
Ac 0.228 0.665 0.086
Ac 0.165 0.086 0.728
Ac 0.642 0.062 0.228
Ac 0.858 0.586 0.920
Ac 0.562 0.335 0.920
Ac 0.586 0.858 0.420
Ac 0.914 0.835 0.772
Ac 0.914 0.080 0.642
Ac 0.858 0.272 0.438
Ac 0.165 0.080 0.938
Ac 0.642 0.580 0.914
Ac 0.420 0.062 0.335
Ac 0.272 0.414 0.835
Ac 0.228 0.562 0.642
Ac 0.920 0.086 0.858
Ac 0.665 0.228 0.586
Ac 0.438 0.772 0.858
Ac 0.062 0.420 0.835
Ac 0.414 0.272 0.335
Ac 0.062 0.642 0.728
Ac 0.665 0.438 0.580
Ac 0.272 0.858 0.938